(1)
Below is a relaxed structure of DyZr5Ru6, with properties calculated at the PBE level.

Cell: 4.6553 6.5922 7.3804 Å, 90.00 71.62 90.00°
With the nearest neighbours (Å) after each atom.
Element x y z (fractional)
Ru: 0.8304 0.7468 0.3393  7 Zr 2.81-2.88, 1 Dy 2.90
Ru: 0.8304 0.2532 0.3393  7 Zr 2.81-2.88, 1 Dy 2.90
Ru: 0.5000 0.2573 0.0000  6 Zr 2.82-2.89, 2 Dy 2.88
Ru: 0.5000 0.7427 0.0000  6 Zr 2.82-2.89, 2 Dy 2.88
Ru: 0.1696 0.7468 0.6607  7 Zr 2.81-2.88, 1 Dy 2.90
Ru: 0.1696 0.2532 0.6607  7 Zr 2.81-2.88, 1 Dy 2.90
Zr: 0.6666 0.5000 0.6667  8 Ru 2.81-2.84
Zr: 0.3327 0.0000 0.3347  8 Ru 2.83-2.89
Zr: 0.0000 0.5000 0.0000  8 Ru 2.82-2.88
Zr: 0.6673 0.0000 0.6653  8 Ru 2.83-2.89
Zr: 0.3334 0.5000 0.3333  8 Ru 2.81-2.84
Dy: 0.0000 0.0000 0.0000  8 Ru 2.88-2.90

Summary:
The calculation puts the formation energy at -0.602 eV per atom. The calculation puts the total magnetization at 0.0 μB per formula unit.

(2)
Below is a relaxed structure of AcCd2Cu2Pd, with properties calculated at the PBE level.

Cell: 4.9654 4.9654 6.7740 Å, 111.50 111.50 90.00°
With the nearest neighbours (Å) after each atom.
Element x y z (fractional)
Ac: 0.5000 0.5000 0.0000  2 Cu 3.34, 4 Pd 3.51
Cd: 0.2500 0.7500 0.5000  4 Cu 2.52
Cd: 0.7500 0.2500 0.5000  4 Cu 2.52
Cu: 0.7886 0.7886 0.5772  1 Pd 2.45, 4 Cd 2.52
Cu: 0.2114 0.2114 0.4228  1 Pd 2.45, 4 Cd 2.52
Pd: 0.0000 0.0000 0.0000  2 Cu 2.45

Summary:
The calculation puts the formation energy at 0.017 eV per atom. The calculation puts the total magnetization at 0.0 μB per formula unit.

(3)
Below is a relaxed structure of ScNiHg2, with properties calculated at the PBE level.

Cell: 7.9077 7.9077 6.2003 Å, 50.38 50.38 90.00°
With the nearest neighbours (Å) after each atom.
Element x y z (fractional)
Sc: 0.5000 0.5000 0.0000  2 Ni 2.68
Sc: 0.2500 0.7500 0.5000  2 Ni 2.68
Ni: 0.0000 0.0000 0.0000  4 Hg 2.58, 2 Sc 2.68
Ni: 0.7500 0.2500 0.5000  4 Hg 2.58, 2 Sc 2.68
Hg: 0.6835 0.1250 0.2500  2 Ni 2.58, 2 Hg 2.83
Hg: 0.0665 0.6250 0.2500  2 Ni 2.58, 2 Hg 2.83
Hg: 0.3750 0.3165 0.7500  2 Ni 2.58, 2 Hg 2.83
Hg: 0.8750 0.9335 0.7500  2 Ni 2.58, 2 Hg 2.83

Summary:
The calculation puts the formation energy at 0.061 eV per atom. The calculation puts the total magnetization at 0.0 μB per formula unit.

(4)
Below is a relaxed structure of MgZn2S3, with properties calculated at the PBE level.

Cell: 6.3740 6.7799 6.7799 Å, 119.99 90.00 90.00°
With the nearest neighbours (Å) after each atom.
Element x y z (fractional)
Mg: 0.0543 0.8298 0.8298  4 S 2.46
Mg: 0.5543 0.1702 0.1702  4 S 2.46
Zn: 0.5552 0.8337 0.4969  4 S 2.36-2.37
Zn: 0.0552 0.5031 0.1663  4 S 2.36-2.37
Zn: 0.5552 0.4969 0.8337  4 S 2.36-2.37
Zn: 0.0552 0.1663 0.5031  4 S 2.36-2.37
S: 0.9263 0.8331 0.4888  3 Zn 2.36-2.37, 1 Mg 2.46
S: 0.4263 0.5112 0.1669  3 Zn 2.36-2.37, 1 Mg 2.46
S: 0.9263 0.4888 0.8331  3 Zn 2.36-2.37, 1 Mg 2.46
S: 0.4263 0.1669 0.5112  3 Zn 2.36-2.37, 1 Mg 2.46
S: 0.4408 0.8231 0.8231  2 Zn 2.36, 2 Mg 2.46
S: 0.9408 0.1769 0.1769  2 Zn 2.36, 2 Mg 2.46

Summary:
The calculation puts the excess energy over the best structure of this formula in the dataset at 0.000 kcal/mol of atoms. The value obtained for the raw formation energy is -6.0 eV per formula unit. The calculation puts the total magnetization at 0.0 μB per formula unit.